A plane-wave DFT calculation with PBE-GGA was carried out for an optimized crystal structure of La4InCo.

a = 6.190 Å, b = 8.465 Å, c = 8.545 Å
α = 113.12°, β = 102.81°, γ = 106.46°
Positions (direct):
La: 0.351 0.928 0.627
La: 0.951 0.808 0.134
La: 0.224 0.301 0.373
La: 0.317 0.674 0.866
La: 0.649 0.072 0.373
La: 0.776 0.699 0.627
La: 0.049 0.192 0.866
La: 0.683 0.326 0.134
In: 0.369 0.619 0.238
In: 0.631 0.381 0.762
Co: 0.757 0.007 0.013
Co: 0.243 0.993 0.987

## Properties
spin magnetization	0.000	μB per atom
DFT total energy	-5.1387	eV/atom
mass density	6.625	Mg/m³
excess energy over the best structure of this formula in the dataset	44.5	meV per atom
formation enthalpy at 0 K	-0.21	eV/atom